(1)
Cu3Re | PBE-GGA | optimized geometry

Values from the calculation:
The density of states at the Fermi level is 0.81 states/eV/atom. Its formation energy from the elements is 0.303 eV/atom. The calculation puts the volume at 12.85 Å³/atom. The value obtained for the total magnetization is 0.000 μB per atom. The space group is No. 47.

a = 2.5372 Å, b = 3.8219 Å, c = 5.2996 Å
α = 90.00°, β = 90.00°, γ = 90.00°
Sites, in units of the cell vectors:
1 Cu 0.0000 0.0000 0.9970
2 Cu 0.0000 0.0000 0.5030
3 Cu 0.5000 0.5000 0.7500
4 Re 0.5000 0.5000 0.2500

=====

(2)
CuRe | PBE-GGA | optimized geometry

Values from the calculation:
The calculation puts the energy relative to the lowest polymorph listed for this composition at 0.7463 eV per atom. The density of states at the Fermi level is 0.87 states/eV/atom. Its formation energy from the elements is 0.892 eV/atom. The calculation puts the volume at 14.55 Å³/atom. The value obtained for the total magnetization is 0.000 μB per atom. The space group is No. 70.

a = 6.7990 Å, b = 7.3407 Å, c = 9.3311 Å
α = 90.00°, β = 90.00°, γ = 90.00°
Sites, in units of the cell vectors:
1 Cu 0.1659 0.0000 0.0000
2 Cu 0.8341 0.0000 0.0000
3 Cu 0.0841 0.7500 0.2500
4 Cu 0.4159 0.7500 0.2500
5 Cu 0.1659 0.5000 0.5000
6 Cu 0.8341 0.5000 0.5000
7 Cu 0.0841 0.2500 0.7500
8 Cu 0.4159 0.2500 0.7500
9 Cu 0.6659 0.0000 0.5000
10 Cu 0.3341 0.0000 0.5000
11 Cu 0.5841 0.7500 0.7500
12 Cu 0.9159 0.7500 0.7500
13 Cu 0.6659 0.5000 0.0000
14 Cu 0.3341 0.5000 0.0000
15 Cu 0.5841 0.2500 0.2500
16 Cu 0.9159 0.2500 0.2500
17 Re 0.0000 0.6644 0.0000
18 Re 0.0000 0.3356 0.0000
19 Re 0.2500 0.0856 0.2500
20 Re 0.2500 0.4144 0.2500
21 Re 0.0000 0.1644 0.5000
22 Re 0.0000 0.8356 0.5000
23 Re 0.2500 0.5856 0.7500
24 Re 0.2500 0.9144 0.7500
25 Re 0.5000 0.6644 0.5000
26 Re 0.5000 0.3356 0.5000
27 Re 0.7500 0.0856 0.7500
28 Re 0.7500 0.4144 0.7500
29 Re 0.5000 0.1644 0.0000
30 Re 0.5000 0.8356 0.0000
31 Re 0.7500 0.5856 0.2500
32 Re 0.7500 0.9144 0.2500

=====

(3)
Cu3Re | PBE-GGA | optimized geometry

Values from the calculation:
The density of states at the Fermi level is 1.26 states/eV/atom. Its formation energy from the elements is 0.683 eV/atom. The calculation puts the volume at 13.28 Å³/atom. The value obtained for the total magnetization is 0.466 μB per atom. The space group is No. 223.

a = 4.7360 Å, b = 4.7360 Å, c = 4.7360 Å
α = 90.00°, β = 90.00°, γ = 90.00°
Site moments in Bohr magnetons follow the coordinates.
Sites, in units of the cell vectors:
1 Cu 0.0000 0.2500 0.5000  0.15
2 Cu 0.0000 0.7500 0.5000  0.15
3 Cu 0.2500 0.5000 0.0000  0.15
4 Cu 0.5000 0.0000 0.2500  0.15
5 Cu 0.5000 0.0000 0.7500  0.15
6 Cu 0.7500 0.5000 0.0000  0.15
7 Re 0.0000 0.0000 0.0000  1.30
8 Re 0.5000 0.5000 0.5000  1.30

=====

(4)
CuRe | PBE-GGA | optimized geometry

Values from the calculation:
The calculation puts the energy relative to the lowest polymorph listed for this composition at 0.1846 eV per atom. The density of states at the Fermi level is 0.80 states/eV/atom. Its formation energy from the elements is 0.330 eV/atom. The calculation puts the volume at 13.83 Å³/atom. The value obtained for the total magnetization is 0.000 μB per atom. The space group is No. 187.

a = 2.6767 Å, b = 2.6767 Å, c = 4.4585 Å
α = 90.00°, β = 90.00°, γ = 120.00°
Sites, in units of the cell vectors:
1 Cu 0.0000 0.0000 0.0000
2 Re 0.3333 0.6667 0.5000

=====

(5)
CuRe2 | PBE-GGA | optimized geometry

Values from the calculation:
The calculation puts the energy relative to the lowest polymorph listed for this composition at 0.1651 eV per atom. The density of states at the Fermi level is 0.91 states/eV/atom. Its formation energy from the elements is 0.299 eV/atom. The calculation puts the volume at 14.08 Å³/atom. The value obtained for the total magnetization is 0.000 μB per atom. The space group is No. 141.

a = 3.8468 Å, b = 3.8468 Å, c = 11.7340 Å
α = 99.43°, β = 99.43°, γ = 90.00°
Sites, in units of the cell vectors:
1 Re 0.2475 0.2475 0.4950
2 Re 0.7525 0.7525 0.5050
3 Re 0.4975 0.9975 0.9950
4 Re 0.0025 0.5025 0.0050
5 Re 0.4153 0.4153 0.8307
6 Re 0.5847 0.5847 0.1693
7 Re 0.6653 0.1653 0.3307
8 Re 0.8347 0.3347 0.6693
9 Cu 0.0821 0.0821 0.1641
10 Cu 0.9179 0.9179 0.8359
11 Cu 0.3321 0.8321 0.6641
12 Cu 0.1679 0.6679 0.3359

=====

(6)
CuRe | PBE-GGA | optimized geometry

Values from the calculation:
The calculation puts the energy relative to the lowest polymorph listed for this composition at 0.0783 eV per atom. The density of states at the Fermi level is 0.42 states/eV/atom. Its formation energy from the elements is 0.224 eV/atom. The calculation puts the volume at 13.49 Å³/atom. The value obtained for the total magnetization is 0.000 μB per atom. The space group is No. 62.

a = 4.3580 Å, b = 4.6466 Å, c = 5.3303 Å
α = 90.00°, β = 90.00°, γ = 90.00°
Sites, in units of the cell vectors:
1 Cu 0.2500 0.0823 0.1224
2 Cu 0.7500 0.4177 0.6224
3 Cu 0.2500 0.5823 0.3776
4 Cu 0.7500 0.9177 0.8776
5 Re 0.2500 0.0768 0.6221
6 Re 0.7500 0.4232 0.1221
7 Re 0.2500 0.5768 0.8779
8 Re 0.7500 0.9232 0.3779

=====

(7)
Cu3Re | PBE-GGA | optimized geometry

Values from the calculation:
The density of states at the Fermi level is 0.56 states/eV/atom. Its formation energy from the elements is 0.191 eV/atom. The calculation puts the volume at 13.04 Å³/atom. The value obtained for the total magnetization is 0.000 μB per atom. The space group is No. 187.

a = 2.6469 Å, b = 2.6469 Å, c = 8.5946 Å
α = 90.00°, β = 90.00°, γ = 120.00°
Sites, in units of the cell vectors:
1 Cu 0.0000 0.0000 0.0084
2 Cu 0.0000 0.0000 0.4916
3 Cu 0.3333 0.6667 0.2500
4 Re 0.3333 0.6667 0.7500

=====

(8)
Cu3Re | PBE-GGA | optimized geometry

Values from the calculation:
The density of states at the Fermi level is 0.42 states/eV/atom. Its formation energy from the elements is 0.225 eV/atom. The calculation puts the volume at 12.90 Å³/atom. The value obtained for the total magnetization is 0.000 μB per atom. The space group is No. 62.

a = 4.4384 Å, b = 8.7547 Å, c = 5.3116 Å
α = 90.00°, β = 90.00°, γ = 90.00°
Sites, in units of the cell vectors:
1 Re 0.0789 0.7500 0.6323
2 Re 0.4211 0.2500 0.1323
3 Re 0.5789 0.7500 0.8677
4 Re 0.9211 0.2500 0.3677
5 Cu 0.9221 0.2500 0.8586
6 Cu 0.2474 0.9971 0.3758
7 Cu 0.2474 0.5029 0.3758
8 Cu 0.2526 0.4971 0.8758
9 Cu 0.2526 0.0029 0.8758
10 Cu 0.5779 0.7500 0.3586
11 Cu 0.4221 0.2500 0.6414
12 Cu 0.7474 0.9971 0.1242
13 Cu 0.7474 0.5029 0.1242
14 Cu 0.7526 0.4971 0.6242
15 Cu 0.7526 0.0029 0.6242
16 Cu 0.0779 0.7500 0.1414

=====

Across the entries above, E takes the values -5.88, -7.38, -5.50, -7.94, -9.37, -8.05, -5.99, -5.96 eV per atom, respectively.